(1)
Material: CeZnGe
Method: DFT, GGA-PBE
State: relaxed

Summary:
Formation energy, eV per atom: -0.581
Theoretical density, g cm⁻³: 7.1

Cell: 4.285 4.285 16.412 Å, 90.00 90.00 120.00°
Element x y z (fractional)
Zn 0.333 0.667 0.141
Ce 0.000 0.000 0.500
Ce 0.000 0.000 0.750
Zn 0.667 0.333 0.641
Ce 0.000 0.000 0.250
Ge 0.333 0.667 0.883
Ge 0.667 0.333 0.383
Zn 0.333 0.667 0.359
Ge 0.667 0.333 0.117
Ce 0.000 0.000 0.000
Ge 0.333 0.667 0.617
Zn 0.667 0.333 0.859

(2)
Material: Ce3Zn4Ge2
Method: DFT, GGA-PBE
State: relaxed

Summary:
Formation energy, eV per atom: -0.481
Theoretical density, g cm⁻³: 7.2

Cell: 4.403 5.829 8.548 Å, 107.54 90.00 112.19°
Element x y z (fractional)
Ce 0.000 0.000 0.000
Ge 0.607 0.214 0.274
Zn 0.256 0.512 0.927
Zn 0.020 0.041 0.361
Zn 0.744 0.488 0.073
Ce 0.324 0.648 0.343
Ce 0.676 0.352 0.657
Ge 0.393 0.786 0.726
Zn 0.980 0.959 0.639

(3)
Material: Ce5ZrGe4
Method: DFT, GGA-PBE
State: relaxed

Summary:
Formation energy, eV per atom: -0.434
Theoretical density, g cm⁻³: 6.9

Cell: 4.366 7.410 9.575 Å, 119.02 103.18 90.00°
Element x y z (fractional)
Ge 0.330 0.893 0.659
Ge 0.670 0.107 0.341
Ce 0.153 0.820 0.307
Ce 0.847 0.180 0.693
Ce 0.193 0.399 0.386
Ce 0.500 0.500 0.000
Ge 0.021 0.266 0.042
Zr 0.500 0.000 0.000
Ge 0.979 0.734 0.958
Ce 0.807 0.601 0.614

(4)
Material: CeZr2Ge
Method: DFT, GGA-PBE
State: relaxed

Summary:
Formation energy, eV per atom: -0.132
Theoretical density, g cm⁻³: 6.9

Cell: 3.583 3.583 8.761 Å, 78.20 78.20 60.00°
Element x y z (fractional)
Ce 0.500 0.500 0.500
Zr 0.266 0.266 0.202
Zr 0.734 0.734 0.798
Ge 0.000 0.000 0.000

(5)
Material: Ce2Zr3Ge4
Method: DFT, GGA-PBE
State: relaxed

Summary:
Formation energy, eV per atom: -0.847
Theoretical density, g cm⁻³: 7.2

Cell: 7.330 7.499 7.490 Å, 90.00 90.00 109.42°
Element x y z (fractional)
Zr 0.748 0.251 0.828
Ge 0.640 0.914 0.037
Ge 0.365 0.492 0.368
Ge 0.635 0.508 0.632
Zr 0.248 0.251 0.672
Ge 0.865 0.492 0.132
Ce 0.934 0.812 0.830
Ce 0.066 0.188 0.170
Zr 0.500 0.500 0.000
Ge 0.360 0.086 0.963
Ge 0.135 0.508 0.868
Zr 0.000 0.500 0.500
Ge 0.860 0.086 0.537
Zr 0.252 0.749 0.172
Ce 0.566 0.188 0.330
Ge 0.140 0.914 0.463
Zr 0.752 0.749 0.328
Ce 0.434 0.812 0.670

(6)
Material: CeZr4Ge4
Method: DFT, GGA-PBE
State: relaxed

Summary:
Formation energy, eV per atom: -0.520
Theoretical density, g cm⁻³: 6.1

Cell: 5.387 8.972 8.972 Å, 90.00 90.00 90.00°
Element x y z (fractional)
Ge 0.900 0.306 0.847
Zr 0.611 0.115 0.360
Zr 0.111 0.140 0.615
Ge 0.400 0.653 0.806
Zr 0.889 0.615 0.860
Ge 0.900 0.694 0.153
Ge 0.100 0.153 0.306
Ge 0.600 0.806 0.347
Zr 0.889 0.385 0.140
Ce 0.500 0.500 0.500
Ce 0.000 0.000 0.000
Zr 0.389 0.360 0.885
Zr 0.389 0.640 0.115
Zr 0.111 0.860 0.385
Ge 0.400 0.347 0.194
Zr 0.611 0.885 0.640
Ge 0.600 0.194 0.653
Ge 0.100 0.847 0.694

(7)
Material: Ce2ZrGe3
Method: DFT, GGA-PBE
State: relaxed

Summary:
Formation energy, eV per atom: -0.664
Theoretical density, g cm⁻³: 6.7

Cell: 4.110 5.806 7.113 Å, 114.09 106.79 90.00°
Element x y z (fractional)
Ge 0.346 0.346 0.692
Zr 0.000 0.500 0.000
Ce 0.330 0.830 0.660
Ge 0.000 0.000 0.000
Ge 0.654 0.654 0.308
Ce 0.670 0.170 0.340

(8)
Material: Ce5ZrGe5
Method: DFT, GGA-PBE
State: relaxed

Summary:
Formation energy, eV per atom: -0.542
Theoretical density, g cm⁻³: 6.4

Cell: 5.861 7.201 8.189 Å, 106.83 90.00 114.01°
Element x y z (fractional)
Ge 0.162 0.323 0.841
Ge 0.838 0.677 0.159
Ce 0.669 0.339 0.333
Ge 0.500 0.000 0.000
Ce 0.331 0.661 0.667
Ce 0.000 0.000 0.500
Zr 0.000 0.000 0.000
Ce 0.337 0.674 0.171
Ge 0.161 0.323 0.323
Ge 0.839 0.677 0.677
Ce 0.663 0.326 0.829

Question: Look up the theoretical density of the seventh one.
Answer: 6.7 g cm⁻³

Question: Number 3 is which compound?
Answer: Ce5ZrGe4

Question: Among the records above, which one has the lowest formation energy?
Answer: Ce2Zr3Ge4